[1]
# Y2Nb2Ru | Alexandria via LeMat-Bulk | PBE-GGA | optimized geometry
data_Y2Nb2Ru
_chemical_formula_sum 'Y4 Nb4 Ru2'
_cell_length_a 6.630
_cell_length_b 6.630
_cell_length_c 5.144
_cell_angle_alpha 90.00
_cell_angle_beta 90.00
_cell_angle_gamma 90.00
_symmetry_space_group_name_H-M 'P 4/m b m'
_symmetry_Int_Tables_number 127
_symmetry_space_group_name_Hall '-P 4 2ab'
loop_
_atom_site_label
_atom_site_type_symbol
_atom_site_fract_x
_atom_site_fract_y
_atom_site_fract_z
_atom_site_occupancy
Y1 Y 0.171 0.329 0.000 1
Nb1 Nb 0.144 0.644 0.500 1
Ru1 Ru 0.000 0.000 0.500 1
# magnetic moment	0.00	μB/f.u.
# ΔH_f (0 K)	0.3	eV per formula unit

=====

[2]
# Y2NbRu2 | Alexandria via LeMat-Bulk | PBE-GGA | optimized geometry
data_Y2NbRu2
_chemical_formula_sum 'Y4 Nb2 Ru4'
_cell_length_a 3.995
_cell_length_b 5.824
_cell_length_c 9.181
_cell_angle_alpha 90.00
_cell_angle_beta 90.00
_cell_angle_gamma 90.00
_symmetry_space_group_name_H-M 'I m m m'
_symmetry_Int_Tables_number 71
_symmetry_space_group_name_Hall '-I 2 2'
loop_
_atom_site_label
_atom_site_type_symbol
_atom_site_fract_x
_atom_site_fract_y
_atom_site_fract_z
_atom_site_occupancy
Y1 Y 0.000 0.000 0.205 1
Nb1 Nb 0.000 0.500 0.000 1
Ru1 Ru 0.000 0.274 0.500 1
# magnetic moment	0.00	μB/f.u.
# offset from the most stable computed form	0	meV per atom
# ΔH_f (0 K)	-1.6	eV per formula unit

=====

[3]
# YNbRu | Alexandria via LeMat-Bulk | PBE-GGA | optimized geometry
data_YNbRu
_chemical_formula_sum 'Y4 Nb4 Ru4'
_cell_length_a 4.685
_cell_length_b 14.983
_cell_length_c 3.350
_cell_angle_alpha 90.00
_cell_angle_beta 90.00
_cell_angle_gamma 90.00
_symmetry_space_group_name_H-M 'C m m m'
_symmetry_Int_Tables_number 65
_symmetry_space_group_name_Hall '-C 2 2'
loop_
_atom_site_label
_atom_site_type_symbol
_atom_site_fract_x
_atom_site_fract_y
_atom_site_fract_z
_atom_site_occupancy
Y1 Y 0.000 0.174 0.000 1
Nb1 Nb 0.000 0.000 0.500 1
Nb2 Nb 0.000 0.500 0.000 1
Ru1 Ru 0.000 0.356 0.500 1
# magnetic moment	0.00	μB/f.u.
# offset from the most stable computed form	0	meV per atom
# ΔH_f (0 K)	-0.4	eV per formula unit

=====

[4]
# YNbRu | Alexandria via LeMat-Bulk | PBE-GGA | optimized geometry
data_YNbRu
_chemical_formula_sum 'Y4 Nb4 Ru4'
_cell_length_a 11.535
_cell_length_b 3.351
_cell_length_c 6.653
_cell_angle_alpha 90.00
_cell_angle_beta 90.90
_cell_angle_gamma 90.00
_symmetry_space_group_name_H-M 'C 1 m 1'
_symmetry_Int_Tables_number 8
_symmetry_space_group_name_Hall 'C -2y'
loop_
_atom_site_label
_atom_site_type_symbol
_atom_site_fract_x
_atom_site_fract_y
_atom_site_fract_z
_atom_site_occupancy
Y1 Y 0.000 0.000 0.000 1
Y2 Y 0.238 0.500 0.245 1
Nb1 Nb 0.069 0.000 0.549 1
Nb2 Nb 0.341 0.000 0.663 1
Ru1 Ru 0.186 0.500 0.777 1
Ru2 Ru 0.443 0.000 0.336 1
# magnetic moment	0.00	μB/f.u.
# offset from the most stable computed form	89	meV per atom
# ΔH_f (0 K)	-0.2	eV per formula unit

=====

[5]
# Y3NbRu | Alexandria via LeMat-Bulk | PBE-GGA | optimized geometry
data_Y3NbRu
_chemical_formula_sum 'Y3 Nb1 Ru1'
_cell_length_a 5.287
_cell_length_b 5.287
_cell_length_c 5.287
_cell_angle_alpha 90.00
_cell_angle_beta 90.00
_cell_angle_gamma 90.00
_symmetry_space_group_name_H-M 'P m -3 m'
_symmetry_Int_Tables_number 221
_symmetry_space_group_name_Hall '-P 4 2 3'
loop_
_atom_site_label
_atom_site_type_symbol
_atom_site_fract_x
_atom_site_fract_y
_atom_site_fract_z
_atom_site_occupancy
Y1 Y 0.000 0.000 0.500 1
Nb1 Nb 0.500 0.500 0.500 1
Ru1 Ru 0.000 0.000 0.000 1
# magnetic moment	3.57	μB/f.u.
# offset from the most stable computed form	0	meV per atom
# ΔH_f (0 K)	2.2	eV per formula unit

=====

[6]
# YNb2Ru2 | Alexandria via LeMat-Bulk | PBE-GGA | optimized geometry
data_YNb2Ru2
_chemical_formula_sum 'Y2 Nb4 Ru4'
_cell_length_a 4.386
_cell_length_b 4.386
_cell_length_c 10.584
_cell_angle_alpha 90.00
_cell_angle_beta 90.00
_cell_angle_gamma 90.00
_symmetry_space_group_name_H-M 'I 4/m m m'
_symmetry_Int_Tables_number 139
_symmetry_space_group_name_Hall '-I 4 2'
loop_
_atom_site_label
_atom_site_type_symbol
_atom_site_fract_x
_atom_site_fract_y
_atom_site_fract_z
_atom_site_occupancy
Y1 Y 0.000 0.000 0.000 1
Nb1 Nb 0.000 0.500 0.250 1
Ru1 Ru 0.000 0.000 0.380 1
# magnetic moment	0.00	μB/f.u.
# offset from the most stable computed form	0	meV per atom
# ΔH_f (0 K)	-1.2	eV per formula unit

=====

[7]
# YNbRu | Alexandria via LeMat-Bulk | PBE-GGA | optimized geometry
data_YNbRu
_chemical_formula_sum 'Y4 Nb4 Ru4'
_cell_length_a 10.510
_cell_length_b 4.464
_cell_length_c 6.076
_cell_angle_alpha 90.00
_cell_angle_beta 122.04
_cell_angle_gamma 90.00
_symmetry_space_group_name_H-M 'C 1 m 1'
_symmetry_Int_Tables_number 8
_symmetry_space_group_name_Hall 'C -2y'
loop_
_atom_site_label
_atom_site_type_symbol
_atom_site_fract_x
_atom_site_fract_y
_atom_site_fract_z
_atom_site_occupancy
Y1 Y 0.000 0.000 0.000 1
Y2 Y 0.153 0.500 0.818 1
Nb1 Nb 0.293 0.000 0.594 1
Nb2 Nb 0.452 0.500 0.438 1
Ru1 Ru 0.177 0.500 0.357 1
Ru2 Ru 0.330 0.000 0.189 1
# magnetic moment	0.00	μB/f.u.
# offset from the most stable computed form	107	meV per atom
# ΔH_f (0 K)	-0.1	eV per formula unit

=====

[8]
# YNb2Ru2 | Alexandria via LeMat-Bulk | PBE-GGA | optimized geometry
data_YNb2Ru2
_chemical_formula_sum 'Y2 Nb4 Ru4'
_cell_length_a 3.166
_cell_length_b 18.554
_cell_length_c 3.178
_cell_angle_alpha 90.00
_cell_angle_beta 90.00
_cell_angle_gamma 90.00
_symmetry_space_group_name_H-M 'C m m m'
_symmetry_Int_Tables_number 65
_symmetry_space_group_name_Hall '-C 2 2'
loop_
_atom_site_label
_atom_site_type_symbol
_atom_site_fract_x
_atom_site_fract_y
_atom_site_fract_z
_atom_site_occupancy
Y1 Y 0.000 0.000 0.000 1
Nb1 Nb 0.000 0.186 0.000 1
Ru1 Ru 0.000 0.393 0.500 1
# magnetic moment	0.00	μB/f.u.
# offset from the most stable computed form	209	meV per atom
# ΔH_f (0 K)	-0.1	eV per formula unit

=====

[9]
# Y2NbRu2 | Alexandria via LeMat-Bulk | PBE-GGA | optimized geometry
data_Y2NbRu2
_chemical_formula_sum 'Y4 Nb2 Ru4'
_cell_length_a 4.279
_cell_length_b 4.279
_cell_length_c 12.026
_cell_angle_alpha 90.00
_cell_angle_beta 90.00
_cell_angle_gamma 90.00
_symmetry_space_group_name_H-M 'I 4/m m m'
_symmetry_Int_Tables_number 139
_symmetry_space_group_name_Hall '-I 4 2'
loop_
_atom_site_label
_atom_site_type_symbol
_atom_site_fract_x
_atom_site_fract_y
_atom_site_fract_z
_atom_site_occupancy
Y1 Y 0.000 0.500 0.250 1
Nb1 Nb 0.000 0.000 0.000 1
Ru1 Ru 0.000 0.000 0.403 1
# magnetic moment	1.17	μB/f.u.
# offset from the most stable computed form	961	meV per atom
# ΔH_f (0 K)	3.2	eV per formula unit

=====

[10]
# YNb2Ru2 | Alexandria via LeMat-Bulk | PBE-GGA | optimized geometry
data_YNb2Ru2
_chemical_formula_sum 'Y2 Nb4 Ru4'
_cell_length_a 7.836
_cell_length_b 7.836
_cell_length_c 2.982
_cell_angle_alpha 90.00
_cell_angle_beta 90.00
_cell_angle_gamma 90.00
_symmetry_space_group_name_H-M 'P 4/m b m'
_symmetry_Int_Tables_number 127
_symmetry_space_group_name_Hall '-P 4 2ab'
loop_
_atom_site_label
_atom_site_type_symbol
_atom_site_fract_x
_atom_site_fract_y
_atom_site_fract_z
_atom_site_occupancy
Y1 Y 0.000 0.000 0.000 1
Nb1 Nb 0.145 0.355 0.000 1
Ru1 Ru 0.149 0.649 0.500 1
# magnetic moment	0.00	μB/f.u.
# offset from the most stable computed form	164	meV per atom
# ΔH_f (0 K)	-0.4	eV per formula unit

=====

[11]
# YNbRu | Alexandria via LeMat-Bulk | PBE-GGA | optimized geometry
data_YNbRu
_chemical_formula_sum 'Y2 Nb2 Ru2'
_cell_length_a 3.283
_cell_length_b 3.283
_cell_length_c 11.019
_cell_angle_alpha 90.00
_cell_angle_beta 90.00
_cell_angle_gamma 90.00
_symmetry_space_group_name_H-M 'I 4 m m'
_symmetry_Int_Tables_number 107
_symmetry_space_group_name_Hall 'I 4 -2'
loop_
_atom_site_label
_atom_site_type_symbol
_atom_site_fract_x
_atom_site_fract_y
_atom_site_fract_z
_atom_site_occupancy
Y1 Y 0.000 0.000 0.000 1
Nb1 Nb 0.000 0.000 0.304 1
Ru1 Ru 0.000 0.000 0.680 1
# magnetic moment	0.00	μB/f.u.
# offset from the most stable computed form	21	meV per atom
# ΔH_f (0 K)	-0.4	eV per formula unit

=====

[12]
# Y2NbRu2 | Alexandria via LeMat-Bulk | PBE-GGA | optimized geometry
data_Y2NbRu2
_chemical_formula_sum 'Y4 Nb2 Ru4'
_cell_length_a 3.462
_cell_length_b 3.462
_cell_length_c 18.828
_cell_angle_alpha 90.00
_cell_angle_beta 90.00
_cell_angle_gamma 90.00
_symmetry_space_group_name_H-M 'I 4/m m m'
_symmetry_Int_Tables_number 139
_symmetry_space_group_name_Hall '-I 4 2'
loop_
_atom_site_label
_atom_site_type_symbol
_atom_site_fract_x
_atom_site_fract_y
_atom_site_fract_z
_atom_site_occupancy
Y1 Y 0.000 0.000 0.114 1
Nb1 Nb 0.000 0.000 0.500 1
Ru1 Ru 0.000 0.500 0.250 1
# magnetic moment	0.00	μB/f.u.
# offset from the most stable computed form	707	meV per atom
# ΔH_f (0 K)	2.0	eV per formula unit

=====

Question: The highest ΔH_f (0 K) belongs to which entry?
Answer: number 9

=====

Question: What is the magnetic moment in the third record?
Answer: 0.00 μB/f.u.

=====

Question: Which value of ΔH_f (0 K) does entry 6 give?
Answer: -1.2 eV per formula unit

=====

Question: What is the formula in the tenth record?
Answer: YNb2Ru2